# 1
VASP calculation (PBE-GGA) on an optimized crystal structure of TaBe2Br.

Output
As for the energy relative to the elements, uncorrected: 0.634 eV per atom. Its total DFT energy (no corrections) is -4.610 eV/atom. As for the space-group type: Cm (8). The spin magnetization is 0.00 μB per cell.

abc: 4.625 4.625 4.682
angles: 82.71 82.71 36.95
Atoms (fractional coordinates):
Be  0.002  0.002  0.029
Be  0.274  0.274  0.198
Br  0.480  0.480  0.513
Ta  0.743  0.743  0.759

# 2
VASP calculation (PBE-GGA) on an optimized crystal structure of TaBe2Br.

Output
As for the energy relative to the elements, uncorrected: 0.374 eV per atom. Its total DFT energy (no corrections) is -4.871 eV/atom. As for the space-group type: P4mm (99). The spin magnetization is 0.00 μB per cell.

abc: 2.969 2.969 8.242
angles: 90.00 90.00 90.00
Atoms (fractional coordinates):
Be  0.000  0.000  0.008
Be  0.500  0.500  0.110
Br  0.000  0.000  0.583
Ta  0.500  0.500  0.799

# 3
VASP calculation (PBE-GGA) on an optimized crystal structure of Ta2BeBr.

Output
As for the energy relative to the elements, uncorrected: 0.344 eV per atom. Its total DFT energy (no corrections) is -6.932 eV/atom. As for the space-group type: Cmm2 (35). The spin magnetization is 0.00 μB per cell.

abc: 2.989 2.989 9.222
angles: 90.00 90.00 102.86
Atoms (fractional coordinates):
Be  0.000  0.000  0.426
Br  0.500  0.500  0.803
Ta  0.000  0.000  0.018
Ta  0.500  0.500  0.253

# 4
VASP calculation (PBE-GGA) on an optimized crystal structure of Ta2BeBr.

Output
As for the energy relative to the elements, uncorrected: 0.569 eV per atom. Its total DFT energy (no corrections) is -6.707 eV/atom. As for the space-group type: Pm (6). The spin magnetization is 0.00 μB per cell.

abc: 4.711 2.935 5.125
angles: 73.48 90.00 90.00
Atoms (fractional coordinates):
Be  0.000  0.573  0.477
Br  0.500  0.917  0.786
Ta  0.000  0.828  0.973
Ta  0.500  0.182  0.263